No. 1
NbNO2F | GGA-PBE | optimized geometry

space group	P4/mmm, No. 123
formation energy without anion corrections	526	meV per atom

abc: 3.7169 3.7169 3.4785
angles: 90.00 90.00 90.00
Last column: nearest neighbours and their distance in Å.
Positions (direct):
Nb: 0.5000 0.5000 0.5000  8 O 2.55, 4 F 2.63
N: 0.0000 0.0000 0.0000  2 F 1.74, 4 O 1.86
O: 0.0000 0.5000 0.0000  2 N 1.86
O: 0.5000 0.0000 0.0000  2 N 1.86
F: 0.0000 0.0000 0.5000  2 N 1.74

No. 2
CaCuSnRh | GGA-PBE | optimized geometry

ΔE_f	-0.3245	eV per atom
space group	F-43m, No. 216

abc: 4.7113 4.7113 4.7113
angles: 60.00 60.00 60.00
Last column: nearest neighbours and their distance in Å.
Positions (direct):
Ca: 0.0000 0.0000 0.0000  4 Cu 2.89, 4 Rh 2.89
Rh: 0.2500 0.2500 0.2500  4 Sn 2.89, 4 Ca 2.89
Sn: 0.5000 0.5000 0.5000  4 Rh 2.89, 4 Cu 2.89
Cu: 0.7500 0.7500 0.7500  4 Sn 2.89, 4 Ca 2.89

No. 3
Ba2TlRe | GGA-PBE | optimized geometry

ΔE_f	0.8900	eV per atom
energy above the most stable polymorph in this dataset	267	meV per atom
space group	F-43m, No. 216

abc: 5.5570 5.5570 5.5570
angles: 60.00 60.00 60.00
Last column: nearest neighbours and their distance in Å.
Positions (direct):
Re: 0.5000 0.5000 0.5000  4 Ba 3.40, 4 Tl 3.40
Tl: 0.7500 0.7500 0.7500  4 Ba 3.40, 4 Re 3.40
Ba: 0.0000 0.0000 0.0000  4 Ba 3.40, 4 Tl 3.40
Ba: 0.2500 0.2500 0.2500  4 Ba 3.40, 4 Re 3.40

No. 4
CaY | GGA-PBE | optimized geometry

ΔE_f	0.5436	eV per atom
energy above the most stable polymorph in this dataset	495	meV per atom
space group	P4_2/mnm, No. 136

abc: 6.7106 6.7106 6.6880
angles: 90.00 90.00 90.00
Last column: nearest neighbours and their distance in Å.
Positions (direct):
Ca: 0.1805 0.8195 0.0000  6 Y 3.34-3.53, 1 Ca 3.43
Ca: 0.6805 0.6805 0.5000  6 Y 3.34-3.53, 1 Ca 3.43
Ca: 0.3195 0.3195 0.5000  6 Y 3.34-3.53, 1 Ca 3.43
Ca: 0.8195 0.1805 0.0000  6 Y 3.34-3.53, 1 Ca 3.43
Y: 0.3250 0.3250 0.0000  1 Y 3.32, 6 Ca 3.34-3.53
Y: 0.8250 0.1750 0.5000  1 Y 3.32, 6 Ca 3.34-3.53
Y: 0.1750 0.8250 0.5000  1 Y 3.32, 6 Ca 3.34-3.53
Y: 0.6750 0.6750 0.0000  1 Y 3.32, 6 Ca 3.34-3.53

No. 5
BeHgHW2 | GGA-PBE | optimized geometry

space group	P4/mmm, No. 123
electronic total energy	-3.694	eV/atom

abc: 5.2746 4.3386 5.2746
angles: 90.00 90.00 90.00
Last column: nearest neighbours and their distance in Å.
Positions (direct):
Be: 0.0000 0.5000 0.0000  2 Hg 2.17
Hg: 0.0000 0.0000 0.0000  2 Be 2.17
W: 0.0000 0.0000 0.5000  2 Hg 2.64
W: 0.5000 0.0000 0.0000  2 Hg 2.64
H: 0.5000 0.5000 0.5000  8 W 3.41, 4 Be 3.73

No. 6
BeAlPt | GGA-PBE | optimized geometry

ΔE_f	-0.6672	eV per atom
energy above the most stable polymorph in this dataset	1	meV per atom
space group	I4mm, No. 107

abc: 4.5317 4.5317 4.5317
angles: 139.78 139.70 58.25
Last column: nearest neighbours and their distance in Å.
Positions (direct):
Be: 0.6732 0.6732 0.0000  5 Pt 2.51-2.76, 5 Al 2.59-2.60
Al: 0.0022 0.0022 0.0000  5 Pt 2.55-2.62, 5 Be 2.59-2.60
Pt: 0.3245 0.3245 0.0000  5 Be 2.51-2.76, 5 Al 2.55-2.62